Entry 1:
Compound: Sc5C3
Source: Alexandria via LeMat-Bulk
Functional: PBE
Structure: optimized geometry

Total magnetization, μB per formula unit: 0.00
Formation enthalpy at 0 K, eV per atom: -0.288

Lattice parameters (Å, degrees): 5.9739 6.0039 7.2637 91.32 97.92 104.08
With the nearest neighbours (Å) after each atom.
Space group P-1 (No. 2)
One atom of each set of equivalent atoms:
Sc1 0.0140 0.2750 0.4243 (multiplicity 2)  5 C 2.31-2.46
Sc2 0.0989 0.1171 0.8165 (multiplicity 2)  3 C 2.23-2.44
Sc3 0.2364 0.5916 0.9625 (multiplicity 2)  3 C 2.20-2.38
Sc4 0.3998 0.1651 0.2017 (multiplicity 2)  3 C 2.19-2.42
Sc5 0.4618 0.7274 0.4051 (multiplicity 2)  4 C 2.29-2.40
C1 0.0669 0.2614 0.0945 (multiplicity 2)  5 Sc 2.20-2.39
C2 0.2333 0.0013 0.4313 (multiplicity 2)  6 Sc 2.19-2.44
C3 0.2895 0.5189 0.6503 (multiplicity 2)  6 Sc 2.35-2.44



Entry 2:
Compound: Al5V12Ga2
Source: Alexandria via LeMat-Bulk
Functional: PBE
Structure: optimized geometry

Total magnetization, μB per formula unit: 0.00
Formation enthalpy at 0 K, eV per atom: -0.043

Lattice parameters (Å, degrees): 10.1542 8.5083 6.5220 90.00 101.36 90.00
With the nearest neighbours (Å) after each atom.
Space group C2/m (No. 12)
One atom of each set of equivalent atoms:
Al1 0.0000 0.0000 0.0000 (multiplicity 2)  4 V 2.56, 2 Al 2.58
Al2 0.1709 0.5000 0.5973 (multiplicity 4)  5 V 2.59-2.77, 1 Al 2.63, 2 Ga 2.65
Al3 0.2471 0.5000 0.0062 (multiplicity 4)  8 V 2.57-2.83, 2 Al 2.58-2.63
V1 0.0430 0.5000 0.1957 (multiplicity 4)  5 V 2.53-2.54, 3 Al 2.61-2.77
V2 0.1011 0.2559 0.8954 (multiplicity 8)  4 V 2.53-2.68, 3 Al 2.56-2.67, 1 Ga 2.58
V3 0.1328 0.0000 0.6035 (multiplicity 4)  2 Al 2.59-2.60, 2 Ga 2.64, 3 V 2.67-2.77
V4 0.1947 0.2638 0.2852 (multiplicity 8)  5 V 2.53-2.82, 1 Ga 2.64, 2 Al 2.66-2.83
Ga1 0.0000 0.2638 0.5000 (multiplicity 4)  6 V 2.58-2.64, 2 Al 2.65